The following is a PBE calculation of a relaxed structure of SnSbF2, from Alexandria. Values from VASP.

```
&SYSTEM
  ibrav = 0, nat = 4, ntyp = 3
/
ATOMIC_SPECIES
Sn 118.71 Sn.upf
Sb 121.76 Sb.upf
F 19.00 F.upf
ATOMIC_POSITIONS crystal
Sn 0.000 0.000 0.000
Sb 0.500 0.500 0.500
F 0.416 0.416 0.416
F 0.584 0.584 0.584
CELL_PARAMETERS angstrom
1.642 0.948 8.578
-1.642 0.948 8.578
0.000 -1.896 8.578
```

Summary:
The value obtained for the total energy is -17.16 eV per cell. For the excess energy over the best structure of this formula in the dataset, the calculation gives 0.000 eV per atom. The uncorrected formation energy is -1.324 eV per atom.



The following is a PBE calculation of a relaxed structure of Er3Zr2Sc4, from Alexandria. Values from VASP.

```
&SYSTEM
  ibrav = 0, nat = 18, ntyp = 3
/
ATOMIC_SPECIES
Er 167.26 Er.upf
Zr 91.22 Zr.upf
Sc 44.96 Sc.upf
ATOMIC_POSITIONS crystal
Er 0.054 0.946 0.750
Er 0.203 0.629 0.458
Er 0.371 0.797 0.042
Er 0.629 0.203 0.958
Er 0.797 0.371 0.542
Er 0.946 0.054 0.250
Zr 0.008 0.389 0.147
Zr 0.389 0.008 0.647
Zr 0.611 0.992 0.353
Zr 0.992 0.611 0.853
Sc 0.141 0.286 0.641
Sc 0.286 0.141 0.141
Sc 0.328 0.455 0.974
Sc 0.455 0.328 0.474
Sc 0.545 0.672 0.526
Sc 0.672 0.545 0.026
Sc 0.714 0.859 0.859
Sc 0.859 0.714 0.359
CELL_PARAMETERS angstrom
6.943 -5.977 0.000
6.943 5.977 0.000
-0.467 0.000 5.779
```

Summary:
The value obtained for the total energy is -110.29 eV per cell. For the excess energy over the best structure of this formula in the dataset, the calculation gives 0.054 eV per atom. The calculation puts the energy of formation from the pure elements at 0.107 eV/atom.